Density functional theory data (GGA-PBE) for CoNi2Pt3 after structural relaxation.

a = 5.302 Å, b = 5.691 Å, c = 5.691 Å
α = 88.98°, β = 90.00°, γ = 90.00°
Last column: magnetic moment on the atom in μB.
Fractional coordinates of all 12 atoms:
Ni  0.721  0.439  0.110  0.75
Ni  0.221  0.890  0.561  0.75
Ni  0.221  0.561  0.890  0.75
Ni  0.721  0.110  0.439  0.75
Co  0.717  0.777  0.777  2.05
Co  0.217  0.223  0.223  2.05
Pt  0.968  0.501  0.501  0.32
Pt  0.470  0.167  0.834  0.30
Pt  0.970  0.833  0.166  0.30
Pt  0.468  0.499  0.499  0.32
Pt  0.470  0.834  0.167  0.30
Pt  0.970  0.166  0.833  0.30

Computed properties:
E above lowest polymorph = 212.5 meV/atom
Uncorrected energy = -6.03 eV/atom
Total moment = 4.37 μB per formula unit
Calculated volume = 171.7 Å³/cell
Formation energy = 0.1054 eV/atom

=====

Density functional theory data (GGA-PBE) for Co4Ni7Pt after structural relaxation.

a = 4.430 Å, b = 7.864 Å, c = 5.002 Å
α = 84.03°, β = 63.72°, γ = 73.64°
Last column: magnetic moment on the atom in μB.
Fractional coordinates of all 12 atoms:
Ni  0.500  0.000  0.000  0.70
Ni  0.212  0.091  0.485  0.66
Ni  0.344  0.548  0.764  0.72
Ni  0.656  0.452  0.236  0.72
Ni  0.788  0.909  0.515  0.66
Ni  0.040  0.616  0.304  0.65
Ni  0.960  0.384  0.696  0.65
Co  0.589  0.227  0.595  1.85
Co  0.714  0.689  0.882  1.89
Co  0.286  0.311  0.118  1.89
Co  0.411  0.773  0.405  1.85
Pt  0.000  0.000  0.000  0.29

Computed properties:
E above lowest polymorph = 429.3 meV/atom
Uncorrected energy = -5.84 eV/atom
Total moment = 12.16 μB per formula unit
Calculated volume = 149.9 Å³/cell
Formation energy = 0.4093 eV/atom

=====

Density functional theory data (GGA-PBE) for Co2NiPt3 after structural relaxation.

a = 6.532 Å, b = 5.384 Å, c = 5.384 Å
α = 120.00°, β = 90.00°, γ = 90.00°
Last column: magnetic moment on the atom in μB.
Fractional coordinates of all 12 atoms:
Co  0.000  0.500  0.500  1.95
Co  0.000  0.000  0.500  1.95
Co  0.000  0.000  0.000  1.92
Co  0.000  0.500  0.000  1.95
Ni  0.320  0.667  0.333  0.81
Ni  0.680  0.333  0.667  0.81
Pt  0.320  0.167  0.335  0.39
Pt  0.680  0.833  0.665  0.39
Pt  0.320  0.167  0.833  0.39
Pt  0.680  0.335  0.167  0.39
Pt  0.320  0.665  0.833  0.39
Pt  0.680  0.833  0.167  0.39

Computed properties:
E above lowest polymorph = 44.1 meV/atom
Uncorrected energy = -6.41 eV/atom
Total moment = 5.74 μB per formula unit
Calculated volume = 164.0 Å³/cell
Formation energy = -0.0620 eV/atom